[1]
The following is a PBE calculation of Cs2SrH6Au2 after structural relaxation, from Alexandria via LeMat-Bulk.

- DOS at the Fermi energy: 0.0 states/eV per cell
- Final energy: -2.97 eV per atom
- ρ: 5.40 Mg/m³

a = 6.0401 Å, b = 6.2664 Å, c = 7.7123 Å
α = 111.79°, β = 90.00°, γ = 118.81°
Closest atoms and distances in Å follow each position.
Atoms (fractional coordinates):
Cs 0.7031 0.4061 0.1463  8 H 3.13-3.33
Cs 0.2969 0.5939 0.8537  8 H 3.13-3.33
Sr 0.5000 0.0000 0.5000  6 H 2.46-2.53
H 0.7544 0.5089 0.6559  1 Au 1.73
H 0.2164 0.9522 0.2416  1 Au 1.76
H 0.2642 0.0478 0.7584  1 Au 1.76
H 0.7836 0.0478 0.7584  1 Au 1.76
H 0.7358 0.9522 0.2416  1 Au 1.76
H 0.2456 0.4911 0.3441  1 Au 1.73
Au 0.9242 0.8484 0.7118  3 H 1.73-1.76
Au 0.0758 0.1516 0.2882  3 H 1.73-1.76

=====

[2]
The following is a PBE calculation of Cs7TeH2Au2 after structural relaxation, from Alexandria via LeMat-Bulk.

- DOS at the Fermi energy: 6.4 states/eV per cell
- Final energy: -2.25 eV per atom
- ρ: 4.04 Mg/m³

a = 5.4061 Å, b = 7.7647 Å, c = 14.9924 Å
α = 105.01°, β = 100.39°, γ = 90.00°
Closest atoms and distances in Å follow each position.
Atoms (fractional coordinates):
Cs 0.4174 0.8238 0.8349  1 H 2.95
Cs 0.7186 0.8304 0.4371  1 H 3.32, 2 Au 3.62
Cs 0.1222 0.4523 0.2444  2 H 3.18
Cs 0.5826 0.9889 0.1651  1 H 2.95
Cs 0.2814 0.3933 0.5629  1 H 3.32, 2 Au 3.62
Cs 0.8778 0.2079 0.7556  2 H 3.18
Cs 0.5000 0.4205 0.0000  2 H 3.08
Te 0.0000 0.0816 0.0000  8 Cs 3.77-3.98
H 0.3963 0.4305 0.7926  4 Cs 2.95-3.18
H 0.6037 0.6379 0.2074  4 Cs 2.95-3.18
Au 0.3034 0.9197 0.6068  7 Cs 3.62-3.97
Au 0.6966 0.3129 0.3932  7 Cs 3.62-3.97

=====

[3]
The following is a PBE calculation of Cs8TeHAu2 after structural relaxation, from Alexandria via LeMat-Bulk.

- DOS at the Fermi energy: 7.1 states/eV per cell
- Final energy: -2.00 eV per atom
- ρ: 3.39 Mg/m³

a = 8.6265 Å, b = 8.5812 Å, c = 10.4839 Å
α = 90.01°, β = 90.00°, γ = 88.36°
Closest atoms and distances in Å follow each position.
Atoms (fractional coordinates):
Cs 0.1862 0.8015 0.2226  1 H 3.28
Cs 0.7115 0.7239 0.0000  1 H 3.49, 2 Au 3.67
Cs 0.8138 0.1985 0.2226  1 H 3.28
Cs 0.8138 0.1985 0.7774  1 H 3.28
Cs 0.2885 0.2761 0.0000  1 H 3.49, 2 Au 3.67
Cs 0.1862 0.8015 0.7774  1 H 3.28
Cs 0.6898 0.7062 0.5000  2 Au 3.67, 1 Te 3.73
Cs 0.3102 0.2938 0.5000  2 Au 3.67, 1 Te 3.73
Te 0.0000 0.0000 0.5000  6 Cs 3.71-3.73
H 0.0000 0.0000 0.0000  6 Cs 3.28-3.49
Au 0.5000 0.5000 0.7609  6 Cs 3.67-3.69
Au 0.5000 0.5000 0.2391  6 Cs 3.67-3.69

=====

[4]
The following is a PBE calculation of Cs2TlH6Au2 after structural relaxation, from Alexandria via LeMat-Bulk.

- DOS at the Fermi energy: 1.2 states/eV per cell
- Final energy: -2.80 eV per atom
- ρ: 6.82 Mg/m³

a = 6.1597 Å, b = 6.4558 Å, c = 7.4391 Å
α = 120.66°, β = 90.00°, γ = 118.49°
Closest atoms and distances in Å follow each position.
Atoms (fractional coordinates):
Cs 0.7232 0.4464 0.1681  5 H 3.05-3.30
Cs 0.2768 0.5536 0.8319  5 H 3.05-3.30
Tl 0.5000 0.0000 0.5000  6 H 2.32-2.52
H 0.7712 0.5424 0.7709  1 Au 1.72
H 0.2182 0.0127 0.3045  1 Au 1.76
H 0.2054 0.9873 0.6955  1 Au 1.76
H 0.7818 0.9873 0.6955  1 Au 1.76
H 0.7946 0.0127 0.3045  1 Au 1.76
H 0.2288 0.4576 0.2291  1 Au 1.72
Au 0.9122 0.8245 0.7458  3 H 1.72-1.76
Au 0.0878 0.1755 0.2542  3 H 1.72-1.76

=====

[5]
The following is a PBE calculation of Cs2TlHAu after structural relaxation, from Alexandria via LeMat-Bulk.

- DOS at the Fermi energy: 4.0 states/eV per cell
- ρ: 6.42 Mg/m³
- Relative energy among the computed polymorphs: 0.0116 eV per atom

a = 6.6887 Å, b = 6.6887 Å, c = 3.8635 Å
α = 90.00°, β = 90.00°, γ = 90.00°
Closest atoms and distances in Å follow each position.
Atoms (fractional coordinates):
Cs 0.0000 0.5000 0.0000  2 H 3.34
Cs 0.5000 0.0000 0.0000  2 H 3.34
H 0.0000 0.0000 0.0000  2 Au 1.93
Tl 0.5000 0.5000 0.5000  8 Cs 3.86, 2 Tl 3.86
Au 0.0000 0.0000 0.5000  2 H 1.93

=====

[6]
The following is a PBE calculation of Cs2TlHAu after structural relaxation, from Alexandria via LeMat-Bulk.

- DOS at the Fermi energy: 3.1 states/eV per cell
- ρ: 6.26 Mg/m³
- Relative energy among the computed polymorphs: 0.0000 eV per atom

a = 5.9267 Å, b = 5.9267 Å, c = 5.0469 Å
α = 90.00°, β = 90.00°, γ = 90.00°
Closest atoms and distances in Å follow each position.
Atoms (fractional coordinates):
Cs 0.0000 0.5000 0.0000  2 H 2.96
Cs 0.5000 0.0000 0.0000  2 H 2.96
H 0.0000 0.0000 0.0000  2 Tl 2.52
Tl 0.0000 0.0000 0.5000  2 H 2.52
Au 0.5000 0.5000 0.5000  8 Cs 3.89, 4 Tl 4.19